# 1
PBE-GGA Hf2NbIn, relaxed; E_form = 0.413 eV per atom; total energy = -7.7653 eV per atom
1.0
3.018 0.000 0.000
0.000 5.167 0.000
0.000 0.000 11.494
Hf Nb In
4 2 2
Cartesian
0.000 0.000 2.872
0.000 0.000 8.622
1.509 2.583 2.875
1.509 2.583 8.618
0.000 0.000 0.000
1.509 2.583 5.747
0.000 0.000 5.747
1.509 2.583 0.000

=====

# 2
PBE-GGA TaRu2, relaxed; E_form = 0.561 eV per atom; total energy = -9.5734 eV per atom
1.0
4.127 0.000 0.000
0.000 4.127 0.000
0.000 0.000 3.175
Ta Ru
1 2
Cartesian
0.000 0.000 0.000
0.000 2.063 1.587
2.063 0.000 1.587